[1]
{"formula": "BaScSb2", "functional": "PBE-GGA", "state": "relaxed", "lattice": [[5.385, 0.000, 0.000], [0.000, 5.385, 0.000], [0.000, 0.000, 4.254]], "species": ["Ba", "Sc", "Sb", "Sb"], "fractional_positions": [[0.000, 0.000, 0.000], [0.500, 0.500, 0.000], [0.000, 0.500, 0.500], [0.500, 0.000, 0.500]], "e_above_lowest_polymorph_ev_per_fu": 1.46, "dos_ef_per_ev_fu": 3.2, "raw_formation_energy_mev_per_atom": -479}

[2]
{"formula": "BaScSb2", "functional": "PBE-GGA", "state": "relaxed", "lattice": [[3.763, 0.000, 0.000], [0.000, 3.763, 0.000], [0.000, 0.000, 8.426]], "species": ["Ba", "Sc", "Sb", "Sb"], "fractional_positions": [[0.000, 0.000, 0.000], [0.000, 0.000, 0.500], [0.500, 0.500, 0.296], [0.500, 0.500, 0.704]], "e_above_lowest_polymorph_ev_per_fu": 0.50, "dos_ef_per_ev_fu": 2.4, "raw_formation_energy_mev_per_atom": -719}

[3]
{"formula": "BaSc2Sb", "functional": "PBE-GGA", "state": "relaxed", "lattice": [[3.746, 0.000, 0.000], [0.000, 5.042, 0.000], [-1.387, 0.000, 6.498]], "species": ["Ba", "Sc", "Sc", "Sb"], "fractional_positions": [[0.000, 0.000, 0.000], [0.334, 0.500, 0.695], [0.666, 0.500, 0.305], [0.500, 0.000, 0.500]], "dos_ef_per_ev_fu": 4.3, "raw_formation_energy_mev_per_atom": -174}